{"formula": "ZrFeP3O12", "functional": "GGA+U", "state": "relaxed", "lattice": [[8.9903, 0.0000, 0.0000], [0.0000, 8.9543, 0.0000], [0.0000, 0.0000, 12.5551]], "species": ["Zr", "Zr", "Zr", "Zr", "Fe", "Fe", "Fe", "Fe", "P", "P", "P", "P", "P", "P", "P", "P", "P", "P", "P", "P", "O", "O", "O", "O", "O", "O", "O", "O", "O", "O", "O", "O", "O", "O", "O", "O", "O", "O", "O", "O", "O", "O", "O", "O", "O", "O", "O", "O", "O", "O", "O", "O", "O", "O", "O", "O", "O", "O", "O", "O", "O", "O", "O", "O", "O", "O", "O", "O"], "frac_coords": [[0.0326, 0.9996, 0.0000], [0.4674, 0.4996, 0.5000], [0.5326, 0.5004, 0.0000], [0.9674, 0.0004, 0.5000], [0.0337, 0.4987, 0.7355], [0.4663, 0.9987, 0.2355], [0.5337, 0.0013, 0.7355], [0.9663, 0.5013, 0.2355], [0.0972, 0.3739, 0.4732], [0.1194, 0.8499, 0.2605], [0.2480, 0.2808, 0.1281], [0.2520, 0.7808, 0.6281], [0.3806, 0.3499, 0.7605], [0.4028, 0.8739, 0.9732], [0.5972, 0.1261, 0.4732], [0.6194, 0.6501, 0.2605], [0.7480, 0.2192, 0.1281], [0.7520, 0.7192, 0.6281], [0.8806, 0.1501, 0.7605], [0.9028, 0.6261, 0.9732], [0.0018, 0.5596, 0.8862], [0.0275, 0.9194, 0.3521], [0.0503, 0.4373, 0.5820], [0.0653, 0.9167, 0.1545], [0.0779, 0.2021, 0.4744], [0.0963, 0.6799, 0.2578], [0.1431, 0.3754, 0.1967], [0.1499, 0.8850, 0.5639], [0.1568, 0.1865, 0.0487], [0.1586, 0.6808, 0.7020], [0.2150, 0.3846, 0.7761], [0.2368, 0.9096, 0.9538], [0.2632, 0.4096, 0.4538], [0.2850, 0.8846, 0.2761], [0.3414, 0.1808, 0.2020], [0.3432, 0.6865, 0.5487], [0.3501, 0.3850, 0.0639], [0.3569, 0.8754, 0.6967], [0.4037, 0.1799, 0.7578], [0.4221, 0.7021, 0.9744], [0.4347, 0.4167, 0.6545], [0.4497, 0.9373, 0.0820], [0.4725, 0.4194, 0.8521], [0.4982, 0.0596, 0.3862], [0.5018, 0.9404, 0.8862], [0.5275, 0.5806, 0.3521], [0.5503, 0.0627, 0.5820], [0.5653, 0.5833, 0.1545], [0.5779, 0.2979, 0.4744], [0.5963, 0.8201, 0.2578], [0.6431, 0.1246, 0.1967], [0.6499, 0.6150, 0.5639], [0.6568, 0.3135, 0.0487], [0.6586, 0.8192, 0.7020], [0.7150, 0.1154, 0.7761], [0.7368, 0.5904, 0.9538], [0.7632, 0.0904, 0.4538], [0.7850, 0.6154, 0.2761], [0.8414, 0.3192, 0.2020], [0.8432, 0.8135, 0.5487], [0.8501, 0.1150, 0.0639], [0.8569, 0.6246, 0.6967], [0.9037, 0.3201, 0.7578], [0.9221, 0.7979, 0.9744], [0.9347, 0.0833, 0.6545], [0.9497, 0.5627, 0.0820], [0.9725, 0.0806, 0.8521], [0.9982, 0.4404, 0.3862]], "energy_ev_per_atom": -7.4128, "n_ef_per_ev_fu": 8.89, "sg": "Pna2_1", "density_g_cm3": 2.8}